Ta2Be2Ga | GGA-PBEsol | relaxed

Unit cell a=6.0128 b=6.0128 c=3.5540 alpha=90.00 beta=90.00 gamma=90.00
Last column: nearest neighbours and their distance in Å.
Positions (direct):
Ta1 0.1774 0.3226 0.0000  6 Be 2.49-2.54
Ta2 0.3226 0.8226 0.0000  6 Be 2.49-2.54
Ta3 0.6774 0.1774 0.0000  6 Be 2.49-2.54
Ta4 0.8226 0.6774 0.0000  6 Be 2.49-2.54
Be1 0.1183 0.6183 0.5000  1 Be 2.01
Be2 0.3817 0.1183 0.5000  1 Be 2.01
Be3 0.6183 0.8817 0.5000  1 Be 2.01
Be4 0.8817 0.3817 0.5000  1 Be 2.01
Ga1 0.0000 0.0000 0.5000  4 Be 2.40
Ga2 0.5000 0.5000 0.5000  4 Be 2.40

- energy of formation from the pure elements (eV per formula unit) = -1.12
- volume (Å³ per cell) = 128


Be2TeWC | GGA-PBEsol | relaxed

Unit cell a=3.8746 b=3.8746 c=4.2418 alpha=90.00 beta=90.00 gamma=90.00
Last column: nearest neighbours and their distance in Å.
Positions (direct):
Be1 0.0000 0.5000 0.0000  2 C 1.94
Be2 0.5000 0.0000 0.0000  2 C 1.94
Te1 0.0000 0.0000 0.5000  4 W 2.74, 8 Be 2.87
W1 0.5000 0.5000 0.5000  2 C 2.12
C1 0.5000 0.5000 0.0000  4 Be 1.94, 2 W 2.12

- E_tot (eV for the cell shown) = -31.79
- volume (Å³ per cell) = 64


KMoNO2 | GGA-PBEsol | relaxed

Unit cell a=4.1030 b=4.1030 c=4.1301 alpha=90.00 beta=90.00 gamma=90.00
Last column: nearest neighbours and their distance in Å.
Positions (direct):
K1 0.0000 0.0000 0.0000  4 O 2.05, 2 N 2.07
Mo1 0.5000 0.5000 0.5000  4 N 2.90, 8 O 2.91
N1 0.0000 0.0000 0.5000  2 K 2.07
O1 0.0000 0.5000 0.0000  2 K 2.05
O2 0.5000 0.0000 0.0000  2 K 2.05

- E_tot (eV for the cell shown) = -21.75
- volume (Å³ per cell) = 70


ScHS2 | GGA-PBEsol | relaxed

Unit cell a=6.3519 b=6.3519 c=6.3519 alpha=34.26 beta=34.26 gamma=34.26
Last column: nearest neighbours and their distance in Å.
Positions (direct):
Sc1 0.0000 0.0000 0.0000  6 S 2.56
H1 0.5000 0.5000 0.5000  2 S 1.62
S1 0.4097 0.4097 0.4097  1 H 1.62
S2 0.5903 0.5903 0.5903  1 H 1.62

- E_tot (eV for the cell shown) = -23.58
- volume (Å³ per cell) = 72


What is the formula in the second record?
Be2TeWC


Please write out number 2 again, unchanged.
Be2TeWC | GGA-PBEsol | relaxed

Unit cell a=3.8746 b=3.8746 c=4.2418 alpha=90.00 beta=90.00 gamma=90.00
Last column: nearest neighbours and their distance in Å.
Positions (direct):
Be1 0.0000 0.5000 0.0000  2 C 1.94
Be2 0.5000 0.0000 0.0000  2 C 1.94
Te1 0.0000 0.0000 0.5000  4 W 2.74, 8 Be 2.87
W1 0.5000 0.5000 0.5000  2 C 2.12
C1 0.5000 0.5000 0.0000  4 Be 1.94, 2 W 2.12

- E_tot (eV for the cell shown) = -31.79
- volume (Å³ per cell) = 64


What is the formula in the third record?
KMoNO2


volume of number 3 (KMoNO2)?
70 Å³ per cell